Arrangement w

Ho3In2Sn | PBE | relaxed

Cell and atoms, written as CIF:
```
data_Ho3In2Sn
_chemical_formula_sum 'Ho3 In2 Sn1'
_space_group_name_H-M_alt 'P 1'
_space_group_IT_number 1
_cell_length_a 5.2930
_cell_length_b 5.2930
_cell_length_c 6.5399
_cell_angle_alpha 90.00
_cell_angle_beta 90.00
_cell_angle_gamma 120.00
loop_
_space_group_symop_operation_xyz
'x,y,z'
loop_
_atom_site_label
_atom_site_fract_x
_atom_site_fract_y
_atom_site_fract_z
Ho1 0.0000 0.0000 0.0000
Ho2 0.3333 0.6667 0.6518
Ho3 0.6667 0.3333 0.3482
In1 0.3333 0.6667 0.1485
In2 0.6667 0.3333 0.8515
Sn1 0.0000 0.0000 0.5000
```

Output
**M_tot**: 0.0 μB per cell


Arrangement x

Ho3In2Sn | PBE | relaxed

Cell and atoms, written as CIF:
```
data_Ho3In2Sn
_chemical_formula_sum 'Ho6 In4 Sn2'
_space_group_name_H-M_alt 'P 1'
_space_group_IT_number 1
_cell_length_a 5.3137
_cell_length_b 15.9930
_cell_length_c 3.7323
_cell_angle_alpha 90.00
_cell_angle_beta 90.00
_cell_angle_gamma 90.00
loop_
_space_group_symop_operation_xyz
'x,y,z'
loop_
_atom_site_label
_atom_site_fract_x
_atom_site_fract_y
_atom_site_fract_z
Ho1 0.0000 0.0000 0.0000
Ho2 0.0000 0.3372 0.0000
Ho3 0.0000 0.6628 0.0000
Ho4 0.5000 0.1628 0.0000
Ho5 0.5000 0.5000 0.0000
Ho6 0.5000 0.8372 0.0000
In1 0.0000 0.1715 0.5000
In2 0.0000 0.8285 0.5000
In3 0.5000 0.3285 0.5000
In4 0.5000 0.6715 0.5000
Sn1 0.0000 0.5000 0.5000
Sn2 0.5000 0.0000 0.5000
```

Output
**M_tot**: 0.0 μB per cell


What should be chosen as the least stable of them? Choose arrangement x.


Arrangement w

Ho6In5Sn | PBE | relaxed

Cell and atoms, written as CIF:
```
data_Ho6In5Sn
_chemical_formula_sum 'Ho6 In5 Sn1'
_space_group_name_H-M_alt 'P 1'
_space_group_IT_number 1
_cell_length_a 6.3120
_cell_length_b 6.3120
_cell_length_c 9.8809
_cell_angle_alpha 95.71
_cell_angle_beta 95.71
_cell_angle_gamma 118.79
loop_
_space_group_symop_operation_xyz
'x,y,z'
loop_
_atom_site_label
_atom_site_fract_x
_atom_site_fract_y
_atom_site_fract_z
Ho1 0.0832 0.4154 0.7491
Ho2 0.2455 0.2455 0.2487
Ho3 0.4154 0.0832 0.7491
Ho4 0.5846 0.9168 0.2509
Ho5 0.7545 0.7545 0.7513
Ho6 0.9168 0.5846 0.2509
In1 0.1695 0.8305 0.0000
In2 0.3353 0.6647 0.5000
In3 0.5000 0.5000 0.0000
In4 0.6647 0.3353 0.5000
In5 0.8305 0.1695 0.0000
Sn1 0.0000 0.0000 0.5000
```

Output
**M_tot**: 0.0 μB per cell


Arrangement x

Ho6In5Sn | PBE | relaxed

Cell and atoms, written as CIF:
```
data_Ho6In5Sn
_chemical_formula_sum 'Ho6 In5 Sn1'
_space_group_name_H-M_alt 'P 1'
_space_group_IT_number 1
_cell_length_a 9.2106
_cell_length_b 9.2106
_cell_length_c 5.3519
_cell_angle_alpha 106.85
_cell_angle_beta 106.85
_cell_angle_gamma 120.83
loop_
_space_group_symop_operation_xyz
'x,y,z'
loop_
_atom_site_label
_atom_site_fract_x
_atom_site_fract_y
_atom_site_fract_z
Ho1 0.0829 0.4133 0.7481
Ho2 0.2467 0.2467 0.2468
Ho3 0.4133 0.0829 0.7481
Ho4 0.5867 0.9171 0.2519
Ho5 0.7533 0.7533 0.7532
Ho6 0.9171 0.5867 0.2519
In1 0.1711 0.8289 0.0000
In2 0.3339 0.6661 0.5000
In3 0.5000 0.5000 0.0000
In4 0.6661 0.3339 0.5000
In5 0.8289 0.1711 0.0000
Sn1 0.0000 0.0000 0.5000
```

Output
**M_tot**: 0.0 μB per cell


What should be chosen as the least stable of them? Choose arrangement w.